No. 1
This record from Alexandria via LeMat-Bulk describes a relaxed TaNbN3 crystal. The functional is PBE.

Summary:
* density of states at the Fermi level: 0.708 states/eV/atom
* crystal system: cubic
* calculated volume: 63 Å³ per cell
* calculated total energy: -9.1487 eV/atom
* uncorrected formation energy: 0.2310 eV per atom

Cell: 3.973 3.973 3.973 Å, 90.00 90.00 90.00°
Element x y z (fractional)
N  0.000  0.000  0.500
N  0.500  0.000  0.000
N  0.000  0.500  0.000
Ta  0.000  0.000  0.000
Nb  0.500  0.500  0.500

=====

No. 2
This record from Alexandria via LeMat-Bulk describes a relaxed Ta3NbN crystal. The functional is PBE.

Summary:
* density of states at the Fermi level: 0.750 states/eV/atom
* crystal system: orthorhombic
* calculated volume: 318 Å³ per cell
* calculated total energy: -11.2190 eV/atom
* uncorrected formation energy: -0.4284 eV per atom

Cell: 6.140 6.259 8.280 Å, 90.00 90.00 90.00°
Element x y z (fractional)
N  0.500  0.000  0.500
N  0.000  0.500  0.000
N  0.500  0.000  0.000
N  0.000  0.500  0.500
Nb  0.000  0.010  0.750
Nb  0.000  0.990  0.250
Nb  0.500  0.510  0.250
Nb  0.500  0.490  0.750
Ta  0.000  0.530  0.250
Ta  0.250  0.250  0.024
Ta  0.500  0.030  0.750
Ta  0.750  0.750  0.976
Ta  0.750  0.750  0.524
Ta  0.750  0.250  0.024
Ta  0.000  0.470  0.750
Ta  0.500  0.970  0.250
Ta  0.750  0.250  0.476
Ta  0.250  0.750  0.976
Ta  0.250  0.750  0.524
Ta  0.250  0.250  0.476

=====

No. 3
This record from Alexandria via LeMat-Bulk describes a relaxed TaNbN3 crystal. The functional is PBE.

Summary:
* density of states at the Fermi level: 0.192 states/eV/atom
* crystal system: monoclinic
* calculated volume: 108 Å³ per cell
* calculated total energy: -10.2150 eV/atom
* uncorrected formation energy: -0.8353 eV per atom

Cell: 3.178 6.425 6.124 Å, 64.53 74.96 75.68°
Element x y z (fractional)
N  0.051  0.112  0.787
N  0.630  0.544  0.195
N  0.370  0.456  0.805
N  0.741  0.838  0.680
N  0.259  0.162  0.320
N  0.949  0.888  0.213
Ta  0.151  0.746  0.952
Ta  0.849  0.254  0.048
Nb  0.395  0.760  0.450
Nb  0.605  0.240  0.550

=====

No. 4
This record from Alexandria via LeMat-Bulk describes a relaxed Ta3Nb3N crystal. The functional is PBE.

Summary:
* density of states at the Fermi level: 0.324 states/eV/atom
* crystal system: cubic
* calculated volume: 457 Å³ per cell
* calculated total energy: -10.8644 eV/atom
* uncorrected formation energy: -0.2797 eV per atom

Cell: 8.649 8.649 8.649 Å, 60.00 60.00 60.00°
Element x y z (fractional)
Nb  0.413  0.413  0.761
Nb  0.837  0.489  0.837
Nb  0.125  0.625  0.625
Nb  0.413  0.761  0.413
Nb  0.761  0.413  0.413
Nb  0.413  0.413  0.413
Nb  0.489  0.837  0.837
Nb  0.625  0.625  0.125
Nb  0.625  0.125  0.625
Nb  0.625  0.625  0.625
Nb  0.837  0.837  0.489
Nb  0.837  0.837  0.837
Ta  0.183  0.183  0.817
Ta  0.067  0.067  0.433
Ta  0.433  0.067  0.067
Ta  0.433  0.067  0.433
Ta  0.817  0.183  0.817
Ta  0.817  0.817  0.183
Ta  0.183  0.817  0.183
Ta  0.817  0.183  0.183
Ta  0.433  0.433  0.067
Ta  0.067  0.433  0.067
Ta  0.067  0.433  0.433
Ta  0.183  0.817  0.817
N  0.625  0.125  0.125
N  0.125  0.125  0.625
N  0.125  0.625  0.125
N  0.125  0.125  0.125

=====

No. 5
This record from Alexandria via LeMat-Bulk describes a relaxed TaNbN2 crystal. The functional is PBE.

Summary:
* density of states at the Fermi level: 0.415 states/eV/atom
* crystal system: trigonal
* calculated volume: 44 Å³ per cell
* calculated total energy: -10.5849 eV/atom
* uncorrected formation energy: -0.9416 eV per atom

Cell: 2.985 2.985 5.956 Å, 75.49 75.49 60.00°
Element x y z (fractional)
Nb  0.498  0.498  0.505
N  0.084  0.084  0.748
N  0.250  0.250  0.249
Ta  0.667  0.667  0.998

=====

No. 6
This record from Alexandria via LeMat-Bulk describes a relaxed TaNbN2 crystal. The functional is PBE.

Summary:
* density of states at the Fermi level: 0.416 states/eV/atom
* crystal system: monoclinic
* calculated volume: 43 Å³ per cell
* calculated total energy: -10.5242 eV/atom
* uncorrected formation energy: -0.8809 eV per atom

Cell: 3.113 3.113 5.467 Å, 73.54 73.54 59.96°
Element x y z (fractional)
Ta  0.500  0.500  0.500
N  0.754  0.754  0.739
N  0.246  0.246  0.261
Nb  0.000  0.000  0.000

=====

No. 7
This record from Alexandria via LeMat-Bulk describes a relaxed TaNb3N crystal. The functional is PBE.

Summary:
* density of states at the Fermi level: 0.573 states/eV/atom
* crystal system: monoclinic
* calculated volume: 159 Å³ per cell
* calculated total energy: -10.5783 eV/atom
* uncorrected formation energy: -0.5009 eV per atom

Cell: 3.009 5.858 9.234 Å, 90.00 90.00 77.08°
Element x y z (fractional)
Nb  0.500  0.000  0.250
Nb  0.900  0.264  0.500
Nb  0.100  0.736  0.500
Nb  0.100  0.736  0.000
Nb  0.900  0.264  0.000
Nb  0.500  0.000  0.750
N  0.500  0.000  0.500
N  0.500  0.000  0.000
Ta  0.500  0.500  0.250
Ta  0.500  0.500  0.750

=====

No. 8
This record from Alexandria via LeMat-Bulk describes a relaxed Tb3TaNb3N8 crystal. The functional is PBE.

Summary:
* density of states at the Fermi level: 0.310 states/eV/atom
* crystal system: monoclinic
* calculated volume: 195 Å³ per cell
* calculated total energy: -9.4238 eV/atom
* uncorrected formation energy: -1.2534 eV per atom

Cell: 6.374 6.383 6.648 Å, 118.70 90.00 119.95°
Element x y z (fractional)
N  0.233  0.466  0.714
N  0.767  0.534  0.286
N  0.251  0.018  0.286
N  0.743  0.486  0.728
N  0.767  0.018  0.286
N  0.257  0.514  0.272
N  0.749  0.982  0.714
N  0.233  0.982  0.714
Nb  0.500  0.000  0.500
Nb  0.000  0.500  0.500
Nb  0.500  0.500  0.500
Tb  0.000  0.500  0.000
Tb  0.000  0.000  0.000
Tb  0.500  0.500  0.000
Ta  0.000  0.000  0.500

=====

No. 9
This record from Alexandria via LeMat-Bulk describes a relaxed TbTaNbN3 crystal. The functional is PBE.

Summary:
* density of states at the Fermi level: 0.201 states/eV/atom
* crystal system: monoclinic
* calculated volume: 145 Å³ per cell
* calculated total energy: -9.9061 eV/atom
* uncorrected formation energy: -1.3180 eV per atom

Cell: 3.172 5.608 8.352 Å, 102.74 90.00 90.00°
Element x y z (fractional)
N  0.250  0.736  0.494
N  0.750  0.038  0.146
N  0.250  0.442  0.852
N  0.750  0.558  0.148
N  0.250  0.962  0.854
N  0.750  0.264  0.506
Ta  0.250  0.767  0.050
Ta  0.750  0.233  0.950
Tb  0.750  0.643  0.691
Tb  0.250  0.357  0.309
Nb  0.250  0.120  0.635
Nb  0.750  0.880  0.365

=====

No. 10
This record from Alexandria via LeMat-Bulk describes a relaxed Ta2NbTcN crystal. The functional is PBE.

Summary:
* density of states at the Fermi level: 0.785 states/eV/atom
* crystal system: tetragonal
* calculated volume: 76 Å³ per cell
* calculated total energy: -10.8850 eV/atom
* uncorrected formation energy: -0.3917 eV per atom

Cell: 4.222 4.222 4.266 Å, 90.00 90.00 90.00°
Element x y z (fractional)
N  0.000  0.000  0.000
Tc  0.500  0.500  0.500
Ta  0.500  0.000  0.000
Ta  0.000  0.500  0.000
Nb  0.000  0.000  0.500

=====

No. 11
This record from Alexandria via LeMat-Bulk describes a relaxed Ta2NbTcN crystal. The functional is PBE.

Summary:
* density of states at the Fermi level: 0.809 states/eV/atom
* crystal system: tetragonal
* calculated volume: 110 Å³ per cell
* calculated total energy: -7.7162 eV/atom
* uncorrected formation energy: 2.7770 eV per atom

Cell: 4.913 4.575 4.913 Å, 90.00 90.00 90.00°
Element x y z (fractional)
Nb  0.000  0.000  0.000
Ta  0.500  0.000  0.000
Ta  0.000  0.000  0.500
Tc  0.000  0.500  0.000
N  0.500  0.500  0.500

=====

No. 12
This record from Alexandria via LeMat-Bulk describes a relaxed TaNbTe2N crystal. The functional is PBE.

Summary:
* density of states at the Fermi level: 0.761 states/eV/atom
* crystal system: tetragonal
* calculated volume: 118 Å³ per cell
* calculated total energy: -6.8763 eV/atom
* uncorrected formation energy: 0.4300 eV per atom

Cell: 5.541 5.541 3.859 Å, 90.00 90.00 90.00°
Element x y z (fractional)
Nb  0.500  0.500  0.500
N  0.000  0.000  0.500
Te  0.500  0.000  0.000
Te  0.000  0.500  0.000
Ta  0.000  0.000  0.000

=====

No. 13
This record from Alexandria via LeMat-Bulk describes a relaxed TaNbTe2N crystal. The functional is PBE.

Summary:
* density of states at the Fermi level: 1.239 states/eV/atom
* crystal system: tetragonal
* calculated volume: 117 Å³ per cell
* calculated total energy: -6.6275 eV/atom
* uncorrected formation energy: 0.6788 eV per atom

Cell: 5.529 5.529 3.828 Å, 90.00 90.00 90.00°
Element x y z (fractional)
Te  0.000  0.500  0.000
Te  0.500  0.000  0.000
Ta  0.500  0.500  0.500
Nb  0.000  0.000  0.000
N  0.000  0.000  0.500

=====

No. 14
This record from Alexandria via LeMat-Bulk describes a relaxed Th2TaNbN6 crystal. The functional is PBE.

Summary:
* crystal system: monoclinic
* calculated volume: 267 Å³ per cell
* calculated total energy: -10.0554 eV/atom
* uncorrected formation energy: -1.3840 eV per atom

Cell: 5.698 5.794 8.077 Å, 90.00 90.02 90.00°
Element x y z (fractional)
N  0.298  0.698  0.451
N  0.202  0.198  0.049
N  0.594  0.028  0.249
N  0.406  0.972  0.751
N  0.800  0.800  0.549
N  0.906  0.528  0.251
N  0.200  0.200  0.451
N  0.798  0.802  0.951
N  0.300  0.700  0.049
N  0.702  0.302  0.549
N  0.094  0.472  0.749
N  0.700  0.300  0.951
Ta  0.000  0.500  0.500
Ta  0.500  0.000  0.000
Th  0.994  0.046  0.750
Th  0.494  0.454  0.250
Th  0.006  0.954  0.250
Th  0.506  0.546  0.750
Nb  0.500  0.000  0.500
Nb  0.000  0.500  0.000

=====

No. 15
This record from Alexandria via LeMat-Bulk describes a relaxed Ta3Ti4NbN8 crystal. The functional is PBE.

Summary:
* density of states at the Fermi level: 0.315 states/eV/atom
* crystal system: trigonal
* calculated volume: 164 Å³ per cell
* calculated total energy: -10.3204 eV/atom
* uncorrected formation energy: -1.3322 eV per atom

Cell: 6.130 6.161 6.130 Å, 119.83 120.00 90.00°
Element x y z (fractional)
N  0.256  0.761  0.005
N  0.744  0.239  0.488
N  0.749  0.761  0.005
N  0.248  0.243  0.495
N  0.256  0.761  0.512
N  0.744  0.239  0.995
N  0.251  0.239  0.995
N  0.752  0.757  0.505
Ta  0.000  0.500  0.500
Ta  0.500  0.500  0.000
Ta  0.500  0.500  0.500
Ti  0.000  0.000  0.000
Ti  0.500  0.000  0.500
Ti  0.500  0.000  0.000
Ti  0.000  0.000  0.500
Nb  0.000  0.500  0.000

=====

No. 16
This record from Alexandria via LeMat-Bulk describes a relaxed TaTiNb2N crystal. The functional is PBE.

Summary:
* density of states at the Fermi level: 0.849 states/eV/atom
* crystal system: tetragonal
* calculated volume: 77 Å³ per cell
* calculated total energy: -10.2092 eV/atom
* uncorrected formation energy: -0.5667 eV per atom

Cell: 4.440 4.440 3.926 Å, 90.00 90.00 90.00°
Element x y z (fractional)
Nb  0.000  0.500  0.000
Nb  0.500  0.000  0.000
N  0.000  0.000  0.000
Ti  0.000  0.000  0.500
Ta  0.500  0.500  0.500

=====

No. 17
This record from Alexandria via LeMat-Bulk describes a relaxed Tm3TaNb3N8 crystal. The functional is PBE.

Summary:
* density of states at the Fermi level: 0.384 states/eV/atom
* crystal system: trigonal
* calculated volume: 189 Å³ per cell
* calculated total energy: -9.4607 eV/atom
* uncorrected formation energy: -1.3220 eV per atom

Cell: 6.328 6.328 6.550 Å, 118.88 90.00 120.00°
Element x y z (fractional)
Tm  0.500  0.500  0.000
Tm  0.000  0.000  0.000
Tm  0.000  0.500  0.000
N  0.765  0.013  0.278
N  0.765  0.530  0.278
N  0.746  0.492  0.738
N  0.254  0.508  0.262
N  0.752  0.987  0.722
N  0.235  0.470  0.722
N  0.235  0.987  0.722
N  0.248  0.013  0.278
Nb  0.000  0.500  0.500
Nb  0.500  0.000  0.500
Nb  0.500  0.500  0.500
Ta  0.000  0.000  0.500

=====

No. 18
This record from Alexandria via LeMat-Bulk describes a relaxed TaNb2VN crystal. The functional is PBE.

Summary:
* density of states at the Fermi level: 0.560 states/eV/atom
* crystal system: tetragonal
* calculated volume: 75 Å³ per cell
* calculated total energy: -10.3996 eV/atom
* uncorrected formation energy: -0.5123 eV per atom

Cell: 4.459 4.459 3.750 Å, 90.00 90.00 90.00°
Element x y z (fractional)
Ta  0.500  0.500  0.500
Nb  0.000  0.500  0.000
Nb  0.500  0.000  0.000
N  0.000  0.000  0.000
V  0.000  0.000  0.500

=====

No. 19
This record from Alexandria via LeMat-Bulk describes a relaxed Y3TaNb3N8 crystal. The functional is PBE.

Summary:
* density of states at the Fermi level: 0.394 states/eV/atom
* crystal system: monoclinic
* calculated volume: 194 Å³ per cell
* calculated total energy: -9.7896 eV/atom
* uncorrected formation energy: -1.2525 eV per atom

Cell: 6.369 6.378 6.628 Å, 118.77 90.00 119.95°
Element x y z (fractional)
Nb  0.000  0.500  0.500
Nb  0.500  0.500  0.500
Nb  0.500  0.000  0.500
N  0.251  0.018  0.284
N  0.256  0.513  0.270
N  0.767  0.018  0.284
N  0.233  0.982  0.716
N  0.744  0.487  0.730
N  0.749  0.982  0.716
N  0.767  0.533  0.285
N  0.233  0.467  0.715
Y  0.000  0.500  0.000
Y  0.500  0.500  0.000
Y  0.000  0.000  0.000
Ta  0.000  0.000  0.500

=====

No. 20
This record from Alexandria via LeMat-Bulk describes a relaxed TaNb2ZnN crystal. The functional is PBE.

Summary:
* density of states at the Fermi level: 0.812 states/eV/atom
* crystal system: tetragonal
* calculated volume: 86 Å³ per cell
* calculated total energy: -7.0224 eV/atom
* uncorrected formation energy: 1.2959 eV per atom

Cell: 4.944 3.515 4.944 Å, 90.00 90.00 90.00°
Element x y z (fractional)
Zn  0.000  0.000  0.000
N  0.000  0.500  0.000
Nb  0.500  0.000  0.000
Nb  0.000  0.000  0.500
Ta  0.500  0.500  0.500

=====

No. 21
This record from Alexandria via LeMat-Bulk describes a relaxed TaNb2ZnN crystal. The functional is PBE.

Summary:
* density of states at the Fermi level: 0.789 states/eV/atom
* crystal system: tetragonal
* calculated volume: 77 Å³ per cell
* calculated total energy: -8.6953 eV/atom
* uncorrected formation energy: -0.3770 eV per atom

Cell: 4.360 4.360 4.066 Å, 90.00 90.00 90.00°
Element x y z (fractional)
Zn  0.500  0.500  0.500
N  0.000  0.000  0.000
Nb  0.500  0.000  0.000
Nb  0.000  0.500  0.000
Ta  0.000  0.000  0.500

=====

No. 22
This record from Alexandria via LeMat-Bulk describes a relaxed Zr3TaNb3N8 crystal. The functional is PBE.

Summary:
* density of states at the Fermi level: 0.395 states/eV/atom
* crystal system: trigonal
* calculated volume: 180 Å³ per cell
* calculated total energy: -10.1891 eV/atom
* uncorrected formation energy: -1.2351 eV per atom

Cell: 6.315 6.315 6.371 Å, 119.71 90.00 120.00°
Element x y z (fractional)
Zr  0.500  0.500  0.000
Zr  0.000  0.500  0.000
Zr  0.000  0.000  0.000
Ta  0.000  0.000  0.500
N  0.246  0.005  0.263
N  0.749  0.497  0.746
N  0.759  0.518  0.263
N  0.759  0.005  0.263
N  0.241  0.995  0.737
N  0.754  0.995  0.737
N  0.251  0.503  0.254
N  0.241  0.482  0.737
Nb  0.500  0.500  0.500
Nb  0.500  0.000  0.500
Nb  0.000  0.500  0.500